DFT (PBE) results for a geometry-optimized CsSnGe2Br8 structure.

a b c (Å): 7.1936 7.3139 9.8922
angles (deg): 79.39 80.51 78.54
Element x y z (fractional)
Br1 0.8055 0.2555 0.7909
Br2 0.3731 0.2746 0.5638
Br3 0.1945 0.7445 0.2091
Br4 0.7853 0.2256 0.1904
Br5 0.2147 0.7744 0.8096
Ge1 0.4460 0.4263 0.7496
Br6 0.2930 0.2385 0.9660
Ge2 0.5540 0.5737 0.2504
Cs1 0.0000 0.0000 0.5000
Sn1 0.0000 0.0000 0.0000
Br7 0.7070 0.7615 0.0340
Br8 0.6269 0.7254 0.4362

Properties
calculated volume	41.41	Å³ per atom
formation energy (no corrections)	-0.772	eV/atom
E	-3.061	eV/atom